Below is crystalline CuNiOs2 at its relaxed geometry, with properties calculated at the PBE level.

The space group is Cmmm (No. 65) and the conventional cell measures 2.722, 4.464 and 8.827 Å, with angles of 90.00, 90.00 and 90.00 degrees. Symmetry generates all atoms from Cu at (0.000, 0.000, 0.000), Ni at (0.000, 0.000, 0.500) and Os at (0.000, 0.500, 0.256).

The value obtained for the energy relative to the lowest polymorph listed for this composition is 263.5 meV per atom. Its calculated formation energy is 0.4305 eV per atom. The density of states at the Fermi level is 1.14 states/eV/atom.